Density functional theory data (PBEsol) for an optimized crystal structure of LiSbAu2.

Properties
**DOS(E_F)**: 0.364 states/eV/atom
**Symmetry**: Pmmm (47)
**E_form (uncorrected)**: -24.6 kJ/mol of atoms

Unit cell a=3.444 b=3.642 c=5.802 alpha=90.00 beta=90.00 gamma=90.00
Positions (direct):
Li: 0.000 0.000 0.000
Sb: 0.000 0.000 0.500
Au: 0.500 0.500 0.234
Au: 0.500 0.500 0.766

Density functional theory data (PBEsol) for an optimized crystal structure of SrCaFeP2O8.

Properties
**Symmetry**: P-1 (2)
**E_form (uncorrected)**: -241.5 kJ/mol of atoms

Unit cell a=5.633 b=6.738 c=9.404 alpha=108.89 beta=103.29 gamma=96.22
Positions (direct):
Sr: 0.215 0.199 0.434
Sr: 0.785 0.801 0.566
Ca: 0.471 0.584 0.837
Ca: 0.529 0.416 0.163
Fe: 0.094 0.875 0.050
Fe: 0.906 0.125 0.950
P: 0.123 0.586 0.273
P: 0.357 0.037 0.792
P: 0.643 0.963 0.208
P: 0.877 0.414 0.727
O: 0.087 0.405 0.111
O: 0.091 0.459 0.657
O: 0.134 0.803 0.251
O: 0.147 0.942 0.853
O: 0.249 0.998 0.619
O: 0.374 0.571 0.376
O: 0.427 0.089 0.185
O: 0.462 0.274 0.898
O: 0.538 0.726 0.102
O: 0.573 0.911 0.815
O: 0.626 0.429 0.624
O: 0.751 0.002 0.381
O: 0.853 0.058 0.147
O: 0.866 0.197 0.749
O: 0.909 0.541 0.343
O: 0.913 0.595 0.889

Density functional theory data (PBEsol) for an optimized crystal structure of NaLuGeO4.

Properties
**DOS(E_F)**: 0.000 states/eV/atom
**Symmetry**: Pnma (62)
**E_form (uncorrected)**: -244.8 kJ/mol of atoms

Unit cell a=11.207 b=6.281 c=5.221 alpha=90.00 beta=90.00 gamma=90.00
Positions (direct):
Na: 0.000 0.000 0.000
Na: 0.000 0.500 0.000
Na: 0.500 0.000 0.500
Na: 0.500 0.500 0.500
Lu: 0.224 0.250 0.492
Lu: 0.276 0.750 0.992
Lu: 0.724 0.250 0.008
Lu: 0.776 0.750 0.508
Ge: 0.099 0.750 0.549
Ge: 0.401 0.250 0.049
Ge: 0.599 0.750 0.951
Ge: 0.901 0.250 0.451
O: 0.047 0.250 0.333
O: 0.113 0.750 0.219
O: 0.178 0.538 0.708
O: 0.178 0.962 0.708
O: 0.322 0.038 0.208
O: 0.322 0.462 0.208
O: 0.387 0.250 0.719
O: 0.453 0.750 0.833
O: 0.547 0.250 0.167
O: 0.613 0.750 0.281
O: 0.678 0.538 0.792
O: 0.678 0.962 0.792
O: 0.822 0.038 0.292
O: 0.822 0.462 0.292
O: 0.887 0.250 0.781
O: 0.953 0.750 0.667

Density functional theory data (PBEsol) for an optimized crystal structure of CoPbCl2.

Properties
**ΔE to the lowest computed polymorph**: 60.4 meV per atom
**DOS(E_F)**: 0.737 states/eV/atom
**Symmetry**: R3m (160)
**E_form (uncorrected)**: -25.1 kJ/mol of atoms

Unit cell a=8.126 b=8.126 c=8.126 alpha=25.23 beta=25.23 gamma=25.23
Positions (direct):
Co: 0.000 0.000 0.000
Pb: 0.253 0.253 0.253
Cl: 0.502 0.502 0.502
Cl: 0.709 0.709 0.709

Density functional theory data (PBEsol) for an optimized crystal structure of Mg2IrPt.

Properties
**DOS(E_F)**: 0.343 states/eV/atom
**Symmetry**: Fm-3m (225)
**Energy relative to the elements**: -2.073 eV/f.u.

Unit cell a=4.381 b=4.381 c=4.381 alpha=60.00 beta=60.00 gamma=60.00
Positions (direct):
Mg: 0.250 0.250 0.250
Mg: 0.750 0.750 0.750
Ir: 0.000 0.000 0.000
Pt: 0.500 0.500 0.500

Density functional theory data (PBEsol) for an optimized crystal structure of CrNi2Cl.

Properties
**ΔE to the lowest computed polymorph**: 301.0 meV per atom
**DOS(E_F)**: 1.447 states/eV/atom
**Symmetry**: P4/mmm (123)
**E_form (uncorrected)**: 58.0 kJ/mol of atoms

Unit cell a=3.424 b=3.424 c=4.267 alpha=90.00 beta=90.00 gamma=90.00
Positions (direct):
Cr: 0.000 0.000 0.000
Ni: 0.000 0.500 0.500
Ni: 0.500 0.000 0.500
Cl: 0.500 0.500 0.000

Density functional theory data (PBEsol) for an optimized crystal structure of YSc2Ni.

Properties
**ΔE to the lowest computed polymorph**: 40.4 meV per atom
**DOS(E_F)**: 1.432 states/eV/atom
**Symmetry**: P4mm (99)
**Energy relative to the elements**: -0.634 eV/f.u.

Unit cell a=3.281 b=3.281 c=7.867 alpha=90.00 beta=90.00 gamma=90.00
Positions (direct):
Y: 0.000 0.000 0.000
Sc: 0.000 0.000 0.394
Sc: 0.500 0.500 0.683
Ni: 0.500 0.500 0.225

Density functional theory data (PBEsol) for an optimized crystal structure of Cs2HgAuBr6.

Properties
**DOS(E_F)**: 0.228 states/eV/atom
**Symmetry**: Fm-3m (225)
**E_form (uncorrected)**: -87.2 kJ/mol of atoms

Unit cell a=7.687 b=7.687 c=7.687 alpha=60.00 beta=60.00 gamma=60.00
Positions (direct):
Cs: 0.250 0.250 0.250
Cs: 0.750 0.750 0.750
Hg: 0.000 0.000 0.000
Au: 0.500 0.500 0.500
Br: 0.256 0.256 0.744
Br: 0.256 0.744 0.256
Br: 0.256 0.744 0.744
Br: 0.744 0.256 0.256
Br: 0.744 0.256 0.744
Br: 0.744 0.744 0.256